Material: Al2Cr3CuS8
Method: DFT, PBE-GGA
State: relaxed

a = 7.049 Å, b = 7.049 Å, c = 7.049 Å
α = 60.02°, β = 60.02°, γ = 60.02°
Element x y z (fractional)
1 Al 0.000 0.000 0.000
2 Al 0.382 0.382 0.382
3 Cr 0.379 0.379 0.864
4 Cr 0.379 0.864 0.379
5 Cr 0.864 0.379 0.379
6 Cu 0.749 0.749 0.749
7 S 0.133 0.133 0.133
8 S 0.134 0.134 0.600
9 S 0.134 0.600 0.134
10 S 0.149 0.619 0.619
11 S 0.600 0.134 0.134
12 S 0.616 0.616 0.616
13 S 0.619 0.149 0.619
14 S 0.619 0.619 0.149

Energy relative to the elements, uncorrected, kJ/mol of formula units: -1110
Mass density, kg/m3: 3553
Space group: R3m, No. 160
E_tot, eV per atom: -6.070

---

Material: TaAlCrCu2
Method: DFT, PBE-GGA
State: relaxed

a = 4.503 Å, b = 4.503 Å, c = 4.391 Å
α = 90.00°, β = 90.00°, γ = 90.00°
Element x y z (fractional)
1 Ta 0.000 0.000 0.000
2 Al 0.500 0.500 0.000
3 Cr 0.000 0.000 0.500
4 Cu 0.000 0.500 0.500
5 Cu 0.500 0.000 0.500

Mass density, kg/m3: 7218
Space group: P4/mmm, No. 123
E_tot, eV per atom: -5.560
E_form, eV/atom: 1.12

---

Material: Al2CrCuTe6
Method: DFT, PBE-GGA
State: relaxed

a = 8.974 Å, b = 8.974 Å, c = 7.188 Å
α = 100.29°, β = 100.29°, γ = 86.76°
Element x y z (fractional)
1 Al 0.088 0.273 0.302
2 Al 0.273 0.088 0.802
3 Al 0.727 0.912 0.198
4 Al 0.912 0.727 0.698
5 Cr 0.415 0.585 0.750
6 Cr 0.585 0.415 0.250
7 Cu 0.249 0.751 0.250
8 Cu 0.751 0.249 0.750
9 Te 0.024 0.210 0.624
10 Te 0.146 0.591 0.884
11 Te 0.210 0.024 0.124
12 Te 0.308 0.476 0.374
13 Te 0.409 0.854 0.616
14 Te 0.476 0.308 0.874
15 Te 0.524 0.692 0.126
16 Te 0.591 0.146 0.384
17 Te 0.692 0.524 0.626
18 Te 0.790 0.976 0.876
19 Te 0.854 0.409 0.116
20 Te 0.976 0.790 0.376

Energy relative to the elements, uncorrected, kJ/mol of formula units: -173
Mass density, kg/m3: 5544
Space group: C2/c, No. 15
E_tot, eV per atom: -4.185

---

Material: TiAlCrCu
Method: DFT, PBE-GGA
State: relaxed

a = 4.268 Å, b = 4.268 Å, c = 4.268 Å
α = 60.00°, β = 60.00°, γ = 60.00°
Element x y z (fractional)
1 Ti 0.000 0.000 0.000
2 Al 0.500 0.500 0.500
3 Cr 0.750 0.750 0.750
4 Cu 0.250 0.250 0.250

Mass density, kg/m3: 5753
Space group: F-43m, No. 216
E_tot, eV per atom: -6.334
E_form, eV/atom: 0.01

---

Material: AlV2CrCu
Method: DFT, PBE-GGA
State: relaxed

a = 4.245 Å, b = 4.245 Å, c = 4.637 Å
α = 90.00°, β = 90.00°, γ = 90.00°
Element x y z (fractional)
1 Al 0.000 0.000 0.000
2 V 0.000 0.500 0.500
3 V 0.500 0.000 0.500
4 Cr 0.000 0.000 0.500
5 Cu 0.500 0.500 0.000

Mass density, kg/m3: 4858
Space group: P4/mmm, No. 123
E_tot, eV per atom: -6.265
E_form, eV/atom: 0.88

---

Material: DyAl2Cr
Method: DFT, PBE-GGA
State: relaxed

a = 9.353 Å, b = 9.353 Å, c = 9.353 Å
α = 19.33°, β = 19.33°, γ = 19.33°
Element x y z (fractional)
1 Dy 0.000 0.000 0.000
2 Al 0.238 0.238 0.238
3 Al 0.762 0.762 0.762
4 Cr 0.500 0.500 0.500

Mass density, kg/m3: 5689
Space group: R-3m, No. 166
E_tot, eV per atom: -5.232
E_form, eV/atom: 0.20

---

Material: DyAl11Cr
Method: DFT, PBE-GGA
State: relaxed

a = 6.872 Å, b = 6.872 Å, c = 7.078 Å
α = 97.73°, β = 97.73°, γ = 135.46°
Element x y z (fractional)
1 Dy 0.000 0.000 0.000
2 Al 0.000 0.000 0.500
3 Al 0.000 0.500 0.000
4 Al 0.026 0.370 0.362
5 Al 0.287 0.501 0.777
6 Al 0.370 0.026 0.362
7 Al 0.499 0.713 0.223
8 Al 0.500 0.000 0.000
9 Al 0.501 0.287 0.777
10 Al 0.630 0.974 0.638
11 Al 0.713 0.499 0.223
12 Al 0.974 0.630 0.638
13 Cr 0.500 0.500 0.500

Mass density, kg/m3: 3873
Space group: C2/m, No. 12
E_tot, eV per atom: -4.414
E_form, eV/atom: -0.15

---

Material: DyAl6Cr6
Method: DFT, PBE-GGA
State: relaxed

a = 6.693 Å, b = 6.693 Å, c = 6.693 Å
α = 135.62°, β = 98.87°, γ = 97.53°
Element x y z (fractional)
1 Dy 0.000 0.000 0.000
2 Al 0.194 0.500 0.694
3 Al 0.333 0.333 0.000
4 Al 0.346 0.000 0.346
5 Al 0.654 0.000 0.654
6 Al 0.667 0.667 0.000
7 Al 0.806 0.500 0.306
8 Cr 0.000 0.000 0.500
9 Cr 0.000 0.500 0.000
10 Cr 0.241 0.741 0.500
11 Cr 0.500 0.000 0.000
12 Cr 0.500 0.500 0.500
13 Cr 0.759 0.259 0.500

Mass density, kg/m3: 5442
Space group: Immm, No. 71
E_tot, eV per atom: -6.651
E_form, eV/atom: -0.13

---

Material: Dy3Al12Cr5
Method: DFT, PBE-GGA
State: relaxed

a = 13.836 Å, b = 13.836 Å, c = 13.836 Å
α = 109.47°, β = 109.47°, γ = 109.47°
Element x y z (fractional)
1 Dy 0.125 0.250 0.375
2 Dy 0.125 0.375 0.750
3 Dy 0.250 0.375 0.125
4 Dy 0.250 0.875 0.625
5 Dy 0.375 0.125 0.250
6 Dy 0.375 0.750 0.125
7 Dy 0.625 0.250 0.875
8 Dy 0.625 0.875 0.750
9 Dy 0.750 0.125 0.375
10 Dy 0.750 0.625 0.875
11 Dy 0.875 0.625 0.250
12 Dy 0.875 0.750 0.625
13 Al 0.016 0.686 0.042
14 Al 0.016 0.830 0.974
15 Al 0.026 0.542 0.856
16 Al 0.026 0.984 0.170
17 Al 0.042 0.016 0.686
18 Al 0.042 0.526 0.356
19 Al 0.144 0.670 0.686
20 Al 0.144 0.974 0.458
21 Al 0.170 0.026 0.984
22 Al 0.170 0.644 0.186
23 Al 0.186 0.170 0.644
24 Al 0.186 0.516 0.542
25 Al 0.314 0.856 0.330
26 Al 0.314 0.958 0.984
27 Al 0.330 0.314 0.856
28 Al 0.330 0.516 0.474
29 Al 0.356 0.042 0.526
30 Al 0.356 0.814 0.830
31 Al 0.458 0.144 0.974
32 Al 0.458 0.814 0.484
33 Al 0.474 0.330 0.516
34 Al 0.474 0.644 0.958
35 Al 0.484 0.458 0.814
36 Al 0.484 0.526 0.670
37 Al 0.516 0.474 0.330
38 Al 0.516 0.542 0.186
39 Al 0.526 0.356 0.042
40 Al 0.526 0.670 0.484
41 Al 0.542 0.186 0.516
42 Al 0.542 0.856 0.026
43 Al 0.644 0.186 0.170
44 Al 0.644 0.958 0.474
45 Al 0.670 0.484 0.526
46 Al 0.670 0.686 0.144
47 Al 0.686 0.042 0.016
48 Al 0.686 0.144 0.670
49 Al 0.814 0.484 0.458
50 Al 0.814 0.830 0.356
51 Al 0.830 0.356 0.814
52 Al 0.830 0.974 0.016
53 Al 0.856 0.026 0.542
54 Al 0.856 0.330 0.314
55 Al 0.958 0.474 0.644
56 Al 0.958 0.984 0.314
57 Al 0.974 0.016 0.830
58 Al 0.974 0.458 0.144
59 Al 0.984 0.170 0.026
60 Al 0.984 0.314 0.958
61 Cr 0.000 0.000 0.000
62 Cr 0.000 0.000 0.500
63 Cr 0.000 0.500 0.000
64 Cr 0.000 0.500 0.500
65 Cr 0.125 0.750 0.875
66 Cr 0.125 0.875 0.250
67 Cr 0.250 0.125 0.875
68 Cr 0.250 0.625 0.375
69 Cr 0.375 0.250 0.625
70 Cr 0.375 0.625 0.750
71 Cr 0.500 0.000 0.000
72 Cr 0.500 0.000 0.500
73 Cr 0.500 0.500 0.000
74 Cr 0.500 0.500 0.500
75 Cr 0.625 0.375 0.250
76 Cr 0.625 0.750 0.375
77 Cr 0.750 0.375 0.625
78 Cr 0.750 0.875 0.125
79 Cr 0.875 0.125 0.750
80 Cr 0.875 0.250 0.125

Mass density, kg/m3: 3490
Space group: Ia-3d, No. 230
E_tot, eV per atom: -4.669
E_form, eV/atom: 0.67

---

Material: DyHoAlCr
Method: DFT, PBE-GGA
State: relaxed

a = 5.086 Å, b = 5.086 Å, c = 5.086 Å
α = 60.00°, β = 60.00°, γ = 60.00°
Element x y z (fractional)
1 Dy 0.000 0.000 0.000
2 Ho 0.500 0.500 0.500
3 Al 0.250 0.250 0.250
4 Cr 0.750 0.750 0.750

Mass density, kg/m3: 7253
Space group: F-43m, No. 216
E_tot, eV per atom: -5.662
E_form, eV/atom: -0.03

---

Material: DyLuAlCr
Method: DFT, PBE-GGA
State: relaxed

a = 5.042 Å, b = 5.042 Å, c = 5.042 Å
α = 60.00°, β = 60.00°, γ = 60.00°
Element x y z (fractional)
1 Dy 0.000 0.000 0.000
2 Lu 0.500 0.500 0.500
3 Al 0.250 0.250 0.250
4 Cr 0.750 0.750 0.750

Mass density, kg/m3: 7632
Space group: F-43m, No. 216
E_tot, eV per atom: -5.654
E_form, eV/atom: -0.03